1.
## Na2ScCuF7 (GGA-PBE)

Data for a relaxed structure of Na2ScCuF7.

```
Na2ScCuF7
1.0
10.647 0.000 0.000
0.000 7.325 0.000
0.000 0.000 7.777
Na Sc Cu F
8 4 4 28
direct
0.000 0.000 0.000
0.000 0.500 0.000
0.239 0.250 0.288
0.261 0.750 0.788
0.500 0.000 0.500
0.500 0.500 0.500
0.739 0.250 0.212
0.761 0.750 0.712
0.231 0.250 0.782
0.269 0.750 0.282
0.731 0.250 0.718
0.769 0.750 0.218
0.000 0.000 0.500
0.000 0.500 0.500
0.500 0.000 0.000
0.500 0.500 0.000
0.034 0.250 0.435
0.120 0.030 0.740
0.120 0.470 0.740
0.143 0.250 0.021
0.146 0.554 0.362
0.146 0.946 0.362
0.172 0.750 0.057
0.328 0.250 0.557
0.354 0.054 0.862
0.354 0.446 0.862
0.357 0.750 0.521
0.380 0.530 0.240
0.380 0.970 0.240
0.466 0.750 0.935
0.534 0.250 0.065
0.620 0.030 0.760
0.620 0.470 0.760
0.643 0.250 0.479
0.646 0.554 0.138
0.646 0.946 0.138
0.672 0.750 0.443
0.828 0.250 0.943
0.854 0.054 0.638
0.854 0.446 0.638
0.857 0.750 0.979
0.880 0.530 0.260
0.880 0.970 0.260
0.966 0.750 0.565
```

Results
As for the crystal system: orthorhombic. Its symmetry is Pnma. The total energy is -231.11 eV for the cell shown. Its density is 3148 kg/m³. The value obtained for the uncorrected formation energy is -277.3 kJ per mole of atoms.

=====

2.
## NaScCuF6 (GGA-PBE)

Data for a relaxed structure of NaScCuF6.

```
NaScCuF6
1.0
5.413 0.000 0.000
-2.706 4.687 0.000
0.000 0.000 9.812
Na Sc Cu F
2 2 2 12
direct
0.000 0.000 0.000
0.000 0.000 0.500
0.333 0.667 0.250
0.667 0.333 0.750
0.333 0.667 0.750
0.667 0.333 0.250
0.002 0.361 0.139
0.002 0.641 0.361
0.359 0.361 0.361
0.359 0.998 0.139
0.361 0.002 0.639
0.361 0.359 0.861
0.639 0.641 0.139
0.639 0.998 0.361
0.641 0.002 0.861
0.641 0.639 0.639
0.998 0.359 0.639
0.998 0.639 0.861
```

Results
As for the crystal system: trigonal. Its symmetry is P-31c. The total energy is -97.29 eV for the cell shown. Its density is 3275 kg/m³. The value obtained for the uncorrected formation energy is -275.2 kJ per mole of atoms.

=====

3.
## Na2ScCuF6 (GGA-PBE)

Data for a relaxed structure of Na2ScCuF6.

```
Na2ScCuF6
1.0
0.000 4.190 4.190
4.190 0.000 4.190
4.190 4.190 0.000
Na Sc Cu F
2 1 1 6
direct
0.250 0.250 0.250
0.750 0.750 0.750
0.000 0.000 0.000
0.500 0.500 0.500
0.241 0.241 0.759
0.241 0.759 0.241
0.241 0.759 0.759
0.759 0.241 0.241
0.759 0.241 0.759
0.759 0.759 0.241
```

Results
As for the crystal system: cubic. Its symmetry is Fm-3m. The total energy is -51.79 eV for the cell shown. Its density is 3031 kg/m³. The value obtained for the uncorrected formation energy is -265.3 kJ per mole of atoms.

=====

4.
## NaCu2SiF8 (GGA-PBE)

Data for a relaxed structure of NaCu2SiF8.

```
NaCu2SiF8
1.0
4.861 0.000 0.000
0.003 4.862 0.000
0.539 0.513 6.504
Na Cu Si F
1 2 1 8
direct
0.000 0.000 0.000
0.463 0.462 0.239
0.537 0.538 0.761
0.000 0.000 0.500
0.170 0.822 0.686
0.179 0.833 0.313
0.255 0.258 0.478
0.317 0.323 0.974
0.683 0.677 0.026
0.745 0.742 0.522
0.821 0.167 0.687
0.830 0.178 0.314
```

Results
As for the crystal system: triclinic. Its symmetry is P-1. The total energy is -57.76 eV for the cell shown. Its density is 3566 kg/m³. The value obtained for the uncorrected formation energy is -223.9 kJ per mole of atoms.

=====

5.
## Na2SmCuF8 (GGA-PBE)

Data for a relaxed structure of Na2SmCuF8.

```
Na2SmCuF8
1.0
3.841 0.000 0.000
0.370 5.444 0.000
0.018 0.837 8.174
Na Sm Cu F
2 1 1 8
direct
0.003 0.023 0.237
0.997 0.977 0.763
0.500 0.500 0.500
0.500 0.500 0.000
0.008 0.287 0.437
0.142 0.724 0.023
0.448 0.352 0.202
0.477 0.181 0.695
0.523 0.819 0.305
0.552 0.648 0.798
0.858 0.276 0.977
0.992 0.713 0.563
```

Results
As for the crystal system: triclinic. Its symmetry is P-1. The total energy is -59.25 eV for the cell shown. Its density is 4001 kg/m³. The value obtained for the uncorrected formation energy is -263.9 kJ per mole of atoms.

=====

6.
## NaCuSnF6 (GGA-PBE)

Data for a relaxed structure of NaCuSnF6.

```
NaCuSnF6
1.0
5.660 0.000 0.000
-2.830 4.902 0.000
0.000 0.000 9.089
Na Cu Sn F
2 2 2 12
direct
0.333 0.667 0.250
0.667 0.333 0.750
0.000 0.000 0.000
0.000 0.000 0.500
0.333 0.667 0.750
0.667 0.333 0.250
0.039 0.359 0.627
0.039 0.680 0.873
0.320 0.359 0.873
0.320 0.961 0.627
0.359 0.039 0.127
0.359 0.320 0.373
0.641 0.680 0.627
0.641 0.961 0.873
0.680 0.039 0.373
0.680 0.641 0.127
0.961 0.320 0.127
0.961 0.641 0.373
```

Results
As for the crystal system: trigonal. Its symmetry is P-31c. The total energy is -80.96 eV for the cell shown. Its density is 4204 kg/m³. The value obtained for the uncorrected formation energy is -212.6 kJ per mole of atoms.

=====

7.
## NaCu2SnF8 (GGA-PBE)

Data for a relaxed structure of NaCu2SnF8.

```
NaCu2SnF8
1.0
5.046 0.000 0.000
-0.399 5.035 0.000
-0.020 -0.021 6.598
Na Cu Sn F
1 2 1 8
direct
0.000 0.000 0.000
0.499 0.499 0.763
0.501 0.501 0.237
0.000 0.000 0.500
0.188 0.814 0.283
0.188 0.814 0.717
0.304 0.305 0.501
0.317 0.320 0.001
0.683 0.680 0.999
0.696 0.695 0.499
0.812 0.186 0.283
0.812 0.186 0.717
```

Results
As for the crystal system: triclinic. Its symmetry is P-1. The total energy is -53.16 eV for the cell shown. Its density is 4168 kg/m³. The value obtained for the uncorrected formation energy is -198.4 kJ per mole of atoms.

=====

8.
## Na2SrCuF8 (GGA-PBE)

Data for a relaxed structure of Na2SrCuF8.

```
Na2SrCuF8
1.0
4.451 0.000 0.000
-0.383 5.261 0.000
-0.149 -0.131 7.230
Na Sr Cu F
2 1 1 8
direct
0.015 0.015 0.268
0.985 0.985 0.732
0.500 0.500 0.000
0.500 0.500 0.500
0.015 0.247 0.996
0.156 0.292 0.512
0.360 0.698 0.306
0.398 0.730 0.704
0.602 0.270 0.296
0.640 0.302 0.694
0.844 0.708 0.488
0.985 0.753 0.004
```

Results
As for the crystal system: triclinic. Its symmetry is P-1. The total energy is -51.63 eV for the cell shown. Its density is 3424 kg/m³. The value obtained for the uncorrected formation energy is -227.1 kJ per mole of atoms.

=====

9.
## NaSrCu2F8 (GGA-PBE)

Data for a relaxed structure of NaSrCu2F8.

```
NaSrCu2F8
1.0
-2.839 2.839 5.034
2.839 -2.839 5.034
2.839 2.839 -5.034
Na Sr Cu F
1 1 2 8
direct
0.000 0.000 0.000
0.750 0.250 0.500
0.250 0.750 0.500
0.500 0.500 0.000
0.116 0.028 0.691
0.176 0.352 0.579
0.336 0.424 0.309
0.403 0.824 0.176
0.576 0.884 0.912
0.648 0.227 0.824
0.773 0.597 0.421
0.972 0.664 0.088
```

Results
As for the crystal system: tetragonal. Its symmetry is I-4. The total energy is -53.18 eV for the cell shown. Its density is 3988 kg/m³. The value obtained for the uncorrected formation energy is -217.2 kJ per mole of atoms.

=====

10.
## NaTaCu2F (GGA-PBE)

Data for a relaxed structure of NaTaCu2F.

```
NaTaCu2F
1.0
4.710 0.000 0.000
0.000 4.710 0.000
0.000 0.000 4.022
Na Ta Cu F
1 1 2 1
direct
0.000 0.000 0.000
0.500 0.500 0.000
0.000 0.500 0.500
0.500 0.000 0.500
0.500 0.500 0.500
```

Results
As for the crystal system: tetragonal. Its symmetry is P4/mmm. The total energy is -21.10 eV for the cell shown. Its density is 6515 kg/m³. The value obtained for the uncorrected formation energy is 41.3 kJ per mole of atoms.

=====

11.
## NaTbCuF6 (GGA-PBE)

Data for a relaxed structure of NaTbCuF6.

```
NaTbCuF6
1.0
5.649 0.000 0.000
-2.825 4.892 0.000
0.000 0.000 9.585
Na Tb Cu F
2 2 2 12
direct
0.000 0.000 0.000
0.000 0.000 0.500
0.333 0.667 0.250
0.667 0.333 0.750
0.333 0.667 0.750
0.667 0.333 0.250
0.021 0.364 0.635
0.021 0.657 0.865
0.343 0.364 0.865
0.343 0.979 0.635
0.364 0.021 0.135
0.364 0.343 0.365
0.636 0.657 0.635
0.636 0.979 0.865
0.657 0.021 0.365
0.657 0.636 0.135
0.979 0.343 0.135
0.979 0.636 0.365
```

Results
As for the crystal system: trigonal. Its symmetry is P-31c. The total energy is -94.50 eV for the cell shown. Its density is 4506 kg/m³. The value obtained for the uncorrected formation energy is -278.5 kJ per mole of atoms.

=====

12.
## Na2TbCuF6 (GGA-PBE)

Data for a relaxed structure of Na2TbCuF6.

```
Na2TbCuF6
1.0
5.796 0.000 0.000
0.000 5.535 0.000
-5.763 0.000 9.851
Na Tb Cu F
4 2 2 12
direct
0.212 0.001 0.213
0.212 0.499 0.713
0.788 0.501 0.287
0.788 0.999 0.787
0.500 0.000 0.000
0.500 0.500 0.500
0.000 0.000 0.500
0.000 0.500 0.000
0.171 0.213 0.999
0.171 0.287 0.499
0.174 0.718 0.344
0.174 0.782 0.844
0.488 0.715 0.658
0.488 0.785 0.158
0.512 0.215 0.842
0.512 0.285 0.342
0.826 0.218 0.156
0.826 0.282 0.656
0.829 0.713 0.501
0.829 0.787 0.001
```

Results
As for the crystal system: monoclinic. Its symmetry is P2_1/c. The total energy is -103.54 eV for the cell shown. Its density is 4019 kg/m³. The value obtained for the uncorrected formation energy is -281.5 kJ per mole of atoms.

=====

13.
## Na2TbCuF8 (GGA-PBE)

Data for a relaxed structure of Na2TbCuF8.

```
Na2TbCuF8
1.0
3.718 0.000 0.000
-0.316 5.351 0.000
-0.028 -0.844 8.468
Na Tb Cu F
2 1 1 8
direct
0.003 0.028 0.269
0.997 0.972 0.731
0.500 0.500 0.000
0.500 0.500 0.500
0.008 0.701 0.926
0.140 0.270 0.530
0.456 0.656 0.694
0.485 0.815 0.183
0.515 0.185 0.817
0.544 0.344 0.306
0.860 0.730 0.470
0.992 0.299 0.074
```

Results
As for the crystal system: triclinic. Its symmetry is P-1. The total energy is -59.37 eV for the cell shown. Its density is 4145 kg/m³. The value obtained for the uncorrected formation energy is -265.6 kJ per mole of atoms.

=====

14.
## NaCuTcF2 (GGA-PBE)

Data for a relaxed structure of NaCuTcF2.

```
NaCuTcF2
1.0
4.081 0.000 0.000
0.000 4.081 0.000
0.000 0.000 6.606
Na Cu Tc F
1 1 1 2
direct
0.000 0.000 0.000
0.500 0.500 0.000
0.000 0.000 0.500
0.000 0.500 0.500
0.500 0.000 0.500
```

Results
As for the crystal system: tetragonal. Its symmetry is P4/mmm. The total energy is -21.19 eV for the cell shown. Its density is 3358 kg/m³. The value obtained for the uncorrected formation energy is -32.2 kJ per mole of atoms.

=====

15.
## NaCuTeF2 (GGA-PBE)

Data for a relaxed structure of NaCuTeF2.

```
NaCuTeF2
1.0
4.363 0.000 0.000
0.000 4.363 0.000
0.000 0.000 6.503
Na Cu Te F
1 1 1 2
direct
0.000 0.000 0.000
0.500 0.500 0.000
0.000 0.000 0.500
0.000 0.500 0.500
0.500 0.000 0.500
```

Results
As for the crystal system: tetragonal. Its symmetry is P4/mmm. The total energy is -15.21 eV for the cell shown. Its density is 3383 kg/m³. The value obtained for the uncorrected formation energy is -56.2 kJ per mole of atoms.

=====

16.
## NaTl2Cu2F7 (GGA-PBE)

Data for a relaxed structure of NaTl2Cu2F7.

```
NaTl2Cu2F7
1.0
2.890 -2.890 0.000
2.890 2.890 0.000
-2.889 0.000 10.992
Na Tl Cu F
1 2 2 7
direct
0.000 0.000 0.000
0.182 0.182 0.365
0.818 0.818 0.635
0.411 0.411 0.821
0.589 0.589 0.179
0.085 0.585 0.172
0.320 0.320 0.637
0.415 0.915 0.828
0.500 0.500 0.000
0.585 0.085 0.172
0.680 0.680 0.363
0.915 0.415 0.828
```

Results
As for the crystal system: monoclinic. Its symmetry is C2/m. The total energy is -49.14 eV for the cell shown. Its density is 6256 kg/m³. The value obtained for the uncorrected formation energy is -175.2 kJ per mole of atoms.

=====

17.
## NaTlCu2F8 (GGA-PBE)

Data for a relaxed structure of NaTlCu2F8.

```
NaTlCu2F8
1.0
-2.728 2.728 5.281
2.728 -2.728 5.281
2.728 2.728 -5.281
Na Tl Cu F
1 1 2 8
direct
0.000 0.000 0.000
0.750 0.250 0.500
0.250 0.750 0.500
0.500 0.500 0.000
0.024 0.644 0.050
0.025 0.976 0.620
0.139 0.289 0.561
0.356 0.405 0.380
0.422 0.861 0.150
0.595 0.975 0.950
0.711 0.271 0.850
0.729 0.578 0.439
```

Results
As for the crystal system: tetragonal. Its symmetry is I-4. The total energy is -48.23 eV for the cell shown. Its density is 5350 kg/m³. The value obtained for the uncorrected formation energy is -171.9 kJ per mole of atoms.

=====

18.
## NaTl2Cu3F12 (GGA-PBE)

Data for a relaxed structure of NaTl2Cu3F12.

```
NaTl2Cu3F12
1.0
3.740 2.159 4.854
-3.740 2.159 4.854
0.000 -4.318 4.854
Na Tl Cu F
1 2 3 12
direct
0.000 0.000 0.000
0.400 0.400 0.400
0.600 0.600 0.600
0.000 0.000 0.500
0.000 0.500 0.000
0.500 0.000 0.000
0.116 0.734 0.734
0.165 0.165 0.555
0.165 0.555 0.165
0.266 0.266 0.884
0.266 0.884 0.266
0.445 0.835 0.835
0.555 0.165 0.165
0.734 0.116 0.734
0.734 0.734 0.116
0.835 0.445 0.835
0.835 0.835 0.445
0.884 0.266 0.266
```

Results
As for the crystal system: trigonal. Its symmetry is R-3m. The total energy is -71.33 eV for the cell shown. Its density is 6005 kg/m³. The value obtained for the uncorrected formation energy is -163.7 kJ per mole of atoms.

=====

19.
## NaTl2CuF8 (GGA-PBE)

Data for a relaxed structure of NaTl2CuF8.

```
NaTl2CuF8
1.0
4.212 0.000 0.000
0.249 5.507 0.000
0.155 0.420 7.492
Na Tl Cu F
1 2 1 8
direct
0.000 0.000 0.000
0.431 0.492 0.249
0.569 0.508 0.751
0.000 0.000 0.500
0.083 0.342 0.762
0.131 0.151 0.277
0.359 0.738 0.497
0.423 0.738 0.987
0.577 0.262 0.013
0.641 0.262 0.503
0.869 0.849 0.723
0.917 0.658 0.238
```

Results
As for the crystal system: triclinic. Its symmetry is P-1. The total energy is -47.83 eV for the cell shown. Its density is 6186 kg/m³. The value obtained for the uncorrected formation energy is -182.6 kJ per mole of atoms.